Below is CdPbBr after structural relaxation, with properties calculated at the GGA-PBE level.

```
CdPbBr
1.0
-3.7131 -3.9004 0.5696
2.5702 0.6223 -4.7256
2.4982 -2.2225 1.0660
Br Pb Cd
1 1 1
direct
0.0000 0.0000 0.9006
0.3333 0.6667 0.7549
0.6667 0.3333 0.3445
```

Calculated values
Symmetry = P3m1 (156)
Crystal system = trigonal
Uncorrected formation energy = -0.45 eV/f.u.
Total DFT energy (no corrections) = -6.7 eV/f.u.